Entry from Alexandria: a relaxed structure of GaB3H12 (PBE).

Cell lengths 8.103, 8.103, 8.103 Å; angles 54.22, 54.22, 54.22 degrees
Sites, in units of the cell vectors:
1 Ga 0.000 0.000 0.000
2 Ga 0.500 0.500 0.500
3 B 0.003 0.291 0.707
4 B 0.207 0.791 0.503
5 B 0.291 0.707 0.003
6 B 0.503 0.207 0.791
7 B 0.707 0.003 0.291
8 B 0.791 0.503 0.207
9 H 0.019 0.266 0.868
10 H 0.059 0.795 0.675
11 H 0.132 0.734 0.982
12 H 0.175 0.295 0.559
13 H 0.197 0.943 0.333
14 H 0.234 0.632 0.482
15 H 0.266 0.868 0.019
16 H 0.295 0.559 0.175
17 H 0.333 0.197 0.943
18 H 0.368 0.766 0.519
19 H 0.443 0.697 0.833
20 H 0.482 0.234 0.632
21 H 0.519 0.368 0.766
22 H 0.559 0.175 0.295
23 H 0.632 0.482 0.234
24 H 0.675 0.059 0.795
25 H 0.697 0.833 0.443
26 H 0.734 0.982 0.132
27 H 0.766 0.519 0.368
28 H 0.795 0.675 0.059
29 H 0.833 0.443 0.697
30 H 0.868 0.019 0.266
31 H 0.943 0.333 0.197
32 H 0.982 0.132 0.734

Density of states at the Fermi level (states/eV per cell): 0.00
Electronic total energy (eV/cell): -127.46
Total moment (μB/cell): 0.00